P:
VASP calculation (PBE) on a relaxed Ti2Zn2Sb crystal.

## Properties
symmetry: P4/mbm, No. 127
volume: 17.35 Å³ per atom

a = 6.747 Å, b = 6.747 Å, c = 3.812 Å
α = 90.00°, β = 90.00°, γ = 90.00°
Fractional coordinates of all 10 atoms:
Ti: 0.173 0.327 0.000
Ti: 0.327 0.827 0.000
Ti: 0.673 0.173 0.000
Ti: 0.827 0.673 0.000
Zn: 0.123 0.623 0.500
Zn: 0.377 0.123 0.500
Zn: 0.623 0.877 0.500
Zn: 0.877 0.377 0.500
Sb: 0.000 0.000 0.500
Sb: 0.500 0.500 0.500


Q:
VASP calculation (PBE) on a relaxed Ti2Zn2Sb crystal.

## Properties
symmetry: P4/mbm, No. 127
volume: 18.87 Å³ per atom

a = 6.931 Å, b = 6.931 Å, c = 3.929 Å
α = 90.00°, β = 90.00°, γ = 90.00°
Fractional coordinates of all 10 atoms:
Ti: 0.147 0.353 0.000
Ti: 0.353 0.853 0.000
Ti: 0.647 0.147 0.000
Ti: 0.853 0.647 0.000
Zn: 0.143 0.643 0.500
Zn: 0.357 0.143 0.500
Zn: 0.643 0.857 0.500
Zn: 0.857 0.357 0.500
Sb: 0.000 0.000 0.000
Sb: 0.500 0.500 0.000


Tell me which of them is the most stable. Sure, it is P.


P:
VASP calculation (PBE) on a relaxed Zr3TiSb2 crystal.

## Properties
symmetry: Immm, No. 71
volume: 23.59 Å³ per atom

a = 8.775 Å, b = 8.775 Å, c = 8.775 Å
α = 156.13°, β = 148.77°, γ = 39.68°
Fractional coordinates of all 6 atoms:
Zr: 0.000 0.000 0.000
Zr: 0.317 0.817 0.500
Zr: 0.683 0.183 0.500
Ti: 0.500 0.000 0.500
Sb: 0.141 0.641 0.500
Sb: 0.859 0.359 0.500


Q:
VASP calculation (PBE) on a relaxed Zr3TiSb2 crystal.

## Properties
symmetry: C2/m, No. 12
volume: 21.77 Å³ per atom

a = 8.409 Å, b = 8.409 Å, c = 4.182 Å
α = 104.31°, β = 104.31°, γ = 27.17°
Fractional coordinates of all 6 atoms:
Zr: 0.000 0.000 0.000
Zr: 0.322 0.322 0.823
Zr: 0.678 0.678 0.177
Ti: 0.500 0.500 0.500
Sb: 0.135 0.135 0.634
Sb: 0.865 0.865 0.366


Tell me which of them is the most stable. Sure, it is Q.


P:
VASP calculation (PBE) on a relaxed ZrTi5Sb3 crystal.

## Properties
symmetry: P6_3/mcm, No. 193
volume: 18.88 Å³ per atom

a = 8.331 Å, b = 8.331 Å, c = 5.655 Å
α = 90.00°, β = 90.00°, γ = 120.00°
Fractional coordinates of all 18 atoms:
Zr: 0.000 0.000 0.000
Zr: 0.000 0.000 0.500
Ti: 0.000 0.340 0.250
Ti: 0.000 0.660 0.750
Ti: 0.333 0.667 0.000
Ti: 0.333 0.667 0.500
Ti: 0.340 0.000 0.250
Ti: 0.340 0.340 0.750
Ti: 0.660 0.000 0.750
Ti: 0.660 0.660 0.250
Ti: 0.667 0.333 0.000
Ti: 0.667 0.333 0.500
Sb: 0.000 0.334 0.750
Sb: 0.000 0.666 0.250
Sb: 0.334 0.000 0.750
Sb: 0.334 0.334 0.250
Sb: 0.666 0.000 0.250
Sb: 0.666 0.666 0.750


Q:
VASP calculation (PBE) on a relaxed ZrTi5Sb3 crystal.

## Properties
symmetry: I4/mcm, No. 140
volume: 20.48 Å³ per atom

a = 9.394 Å, b = 9.394 Å, c = 9.394 Å
α = 137.89°, β = 137.89°, γ = 61.08°
Fractional coordinates of all 18 atoms:
Zr: 0.250 0.750 0.500
Zr: 0.750 0.250 0.500
Ti: 0.000 0.000 0.000
Ti: 0.052 0.552 0.854
Ti: 0.198 0.052 0.500
Ti: 0.302 0.802 0.854
Ti: 0.448 0.302 0.500
Ti: 0.500 0.500 0.000
Ti: 0.552 0.698 0.500
Ti: 0.698 0.198 0.146
Ti: 0.802 0.948 0.500
Ti: 0.948 0.448 0.146
Sb: 0.142 0.358 0.500
Sb: 0.250 0.250 0.000
Sb: 0.358 0.858 0.215
Sb: 0.642 0.142 0.785
Sb: 0.750 0.750 0.000
Sb: 0.858 0.642 0.500


Tell me which of them is the most stable. Sure, it is P.


P:
VASP calculation (PBE) on a relaxed ZrTi4Sb2 crystal.

## Properties
symmetry: P4_2/mnm, No. 136
volume: 20.34 Å³ per atom

a = 8.817 Å, b = 8.817 Å, c = 3.664 Å
α = 90.00°, β = 90.00°, γ = 90.00°
Fractional coordinates of all 14 atoms:
Zr: 0.000 0.000 0.000
Zr: 0.500 0.500 0.500
Ti: 0.079 0.346 0.500
Ti: 0.154 0.579 0.000
Ti: 0.346 0.079 0.500
Ti: 0.421 0.846 0.000
Ti: 0.579 0.154 0.000
Ti: 0.654 0.921 0.500
Ti: 0.846 0.421 0.000
Ti: 0.921 0.654 0.500
Sb: 0.191 0.809 0.500
Sb: 0.309 0.309 0.000
Sb: 0.691 0.691 0.000
Sb: 0.809 0.191 0.500


Q:
VASP calculation (PBE) on a relaxed ZrTi4Sb2 crystal.

## Properties
symmetry: I4/mmm, No. 139
volume: 20.45 Å³ per atom

a = 9.845 Å, b = 9.845 Å, c = 9.845 Å
α = 157.20°, β = 157.20°, γ = 32.46°
Fractional coordinates of all 7 atoms:
Zr: 0.000 0.000 0.000
Ti: 0.139 0.139 0.000
Ti: 0.250 0.750 0.500
Ti: 0.750 0.250 0.500
Ti: 0.861 0.861 0.000
Sb: 0.389 0.389 0.000
Sb: 0.611 0.611 0.000


Tell me which of them is the most stable. Sure, it is P.


P:
VASP calculation (PBE) on a relaxed Zr3TiSb crystal.

## Properties
symmetry: Pm-3m, No. 221
volume: 24.20 Å³ per atom

a = 4.946 Å, b = 4.946 Å, c = 4.946 Å
α = 90.00°, β = 90.00°, γ = 90.00°
Fractional coordinates of all 5 atoms:
Zr: 0.000 0.000 0.500
Zr: 0.000 0.500 0.000
Zr: 0.500 0.000 0.000
Ti: 0.000 0.000 0.000
Sb: 0.500 0.500 0.500


Q:
VASP calculation (PBE) on a relaxed Zr3TiSb crystal.

## Properties
symmetry: Pm-3m, No. 221
volume: 28.95 Å³ per atom

a = 5.250 Å, b = 5.250 Å, c = 5.250 Å
α = 90.00°, β = 90.00°, γ = 90.00°
Fractional coordinates of all 5 atoms:
Zr: 0.000 0.000 0.500
Zr: 0.000 0.500 0.000
Zr: 0.500 0.000 0.000
Ti: 0.500 0.500 0.500
Sb: 0.000 0.000 0.000


Tell me which of them is the most stable. Sure, it is P.


P:
VASP calculation (PBE) on a relaxed Zr3Ti2Sb3 crystal.

## Properties
symmetry: Cmcm, No. 63
volume: 22.31 Å³ per atom

a = 6.887 Å, b = 6.887 Å, c = 14.203 Å
α = 90.00°, β = 90.00°, γ = 148.00°
Fractional coordinates of all 16 atoms:
Zr: 0.065 0.935 0.605
Zr: 0.065 0.935 0.895
Zr: 0.304 0.696 0.750
Zr: 0.696 0.304 0.250
Zr: 0.935 0.065 0.105
Zr: 0.935 0.065 0.395
Ti: 0.250 0.750 0.082
Ti: 0.250 0.750 0.418
Ti: 0.750 0.250 0.582
Ti: 0.750 0.250 0.918
Sb: 0.366 0.634 0.250
Sb: 0.399 0.601 0.561
Sb: 0.399 0.601 0.939
Sb: 0.601 0.399 0.061
Sb: 0.601 0.399 0.439
Sb: 0.634 0.366 0.750


Q:
VASP calculation (PBE) on a relaxed Zr3Ti2Sb3 crystal.

## Properties
symmetry: P6_3/mcm, No. 193
volume: 20.91 Å³ per atom

a = 8.308 Å, b = 8.308 Å, c = 5.598 Å
α = 90.00°, β = 90.00°, γ = 120.00°
Fractional coordinates of all 16 atoms:
Zr: 0.000 0.244 0.250
Zr: 0.000 0.756 0.750
Zr: 0.244 0.000 0.250
Zr: 0.244 0.244 0.750
Zr: 0.756 0.000 0.750
Zr: 0.756 0.756 0.250
Ti: 0.333 0.667 0.000
Ti: 0.333 0.667 0.500
Ti: 0.667 0.333 0.000
Ti: 0.667 0.333 0.500
Sb: 0.000 0.397 0.750
Sb: 0.000 0.603 0.250
Sb: 0.397 0.000 0.750
Sb: 0.397 0.397 0.250
Sb: 0.603 0.000 0.250
Sb: 0.603 0.603 0.750


Tell me which of them is the most stable. Sure, it is Q.


P:
VASP calculation (PBE) on a relaxed Zr2TiSb2 crystal.

## Properties
symmetry: P4/mbm, No. 127
volume: 21.95 Å³ per atom

a = 7.449 Å, b = 7.449 Å, c = 3.956 Å
α = 90.00°, β = 90.00°, γ = 90.00°
Fractional coordinates of all 10 atoms:
Zr: 0.157 0.343 0.000
Zr: 0.343 0.843 0.000
Zr: 0.657 0.157 0.000
Zr: 0.843 0.657 0.000
Ti: 0.000 0.000 0.500
Ti: 0.500 0.500 0.500
Sb: 0.147 0.647 0.500
Sb: 0.353 0.147 0.500
Sb: 0.647 0.853 0.500
Sb: 0.853 0.353 0.500


Q:
VASP calculation (PBE) on a relaxed Zr2TiSb2 crystal.

## Properties
symmetry: I4/mmm, No. 139
volume: 23.85 Å³ per atom

a = 7.451 Å, b = 7.451 Å, c = 7.451 Å
α = 147.46°, β = 147.46°, γ = 46.69°
Fractional coordinates of all 5 atoms:
Zr: 0.250 0.750 0.500
Zr: 0.750 0.250 0.500
Ti: 0.000 0.000 0.000
Sb: 0.399 0.399 0.000
Sb: 0.601 0.601 0.000


Tell me which of them is the most stable. Sure, it is P.


P:
VASP calculation (PBE) on a relaxed Tl2Sb3 crystal.

## Properties
symmetry: R-3c, No. 167
volume: 35.17 Å³ per atom

a = 7.704 Å, b = 7.704 Å, c = 7.704 Å
α = 63.99°, β = 63.99°, γ = 63.99°
Fractional coordinates of all 10 atoms:
Tl: 0.093 0.093 0.093
Tl: 0.407 0.407 0.407
Tl: 0.593 0.593 0.593
Tl: 0.907 0.907 0.907
Sb: 0.042 0.250 0.458
Sb: 0.250 0.458 0.042
Sb: 0.458 0.042 0.250
Sb: 0.542 0.958 0.750
Sb: 0.750 0.542 0.958
Sb: 0.958 0.750 0.542


Q:
VASP calculation (PBE) on a relaxed Tl2Sb3 crystal.

## Properties
symmetry: P-3m1, No. 164
volume: 34.30 Å³ per atom

a = 4.881 Å, b = 4.881 Å, c = 8.311 Å
α = 90.00°, β = 90.00°, γ = 120.00°
Fractional coordinates of all 5 atoms:
Tl: 0.333 0.667 0.330
Tl: 0.667 0.333 0.670
Sb: 0.000 0.000 0.500
Sb: 0.333 0.667 0.936
Sb: 0.667 0.333 0.064


Tell me which of them is the most stable. Sure, it is Q.